First-principles (PBE) data for a relaxed SmDy4Pu3Se8 crystal, as listed in Alexandria.

Space group = R-3m
E = -0.279 Ha/atom
Crystal system = trigonal
Formation energy (no corrections) = -1704 meV per atom
V = 393.3 Å³/cell

Cell: 8.2489 8.2489 8.2489 Å, 59.60 59.60 59.60°
With the nearest neighbours (Å) after each atom.
Fractional coordinates of all 16 atoms:
Sm1 0.0000 0.0000 0.0000  6 Se 2.94
Dy1 0.0000 0.0000 0.5000  6 Se 2.89
Dy2 0.0000 0.5000 0.0000  6 Se 2.89
Dy3 0.5000 0.0000 0.0000  6 Se 2.89
Dy4 0.5000 0.5000 0.5000  6 Se 2.88
Pu1 0.0000 0.5000 0.5000  6 Se 2.93
Pu2 0.5000 0.0000 0.5000  6 Se 2.93
Pu3 0.5000 0.5000 0.0000  6 Se 2.93
Se1 0.2483 0.2483 0.2483  3 Dy 2.89, 3 Pu 2.93
Se2 0.2490 0.7472 0.7472  3 Dy 2.88-2.89, 2 Pu 2.93, 1 Sm 2.94
Se3 0.2528 0.2528 0.7510  3 Dy 2.88-2.89, 2 Pu 2.93, 1 Sm 2.94
Se4 0.2528 0.7510 0.2528  3 Dy 2.88-2.89, 2 Pu 2.93, 1 Sm 2.94
Se5 0.7472 0.2490 0.7472  3 Dy 2.88-2.89, 2 Pu 2.93, 1 Sm 2.94
Se6 0.7472 0.7472 0.2490  3 Dy 2.88-2.89, 2 Pu 2.93, 1 Sm 2.94
Se7 0.7510 0.2528 0.2528  3 Dy 2.88-2.89, 2 Pu 2.93, 1 Sm 2.94
Se8 0.7517 0.7517 0.7517  3 Dy 2.89, 3 Pu 2.93



First-principles (PBE) data for a relaxed Sm2Dy3PuSe6 crystal, as listed in Alexandria.

Space group = C2/m
E = -0.244 Ha/atom
Crystal system = monoclinic
Formation energy (no corrections) = -1756 meV per atom
V = 296.2 Å³/cell

Cell: 9.2201 9.2201 8.2858 Å, 103.34 103.34 25.65°
With the nearest neighbours (Å) after each atom.
Fractional coordinates of all 12 atoms:
Sm1 0.1650 0.1650 0.3306  6 Se 2.93-2.96
Sm2 0.8350 0.8350 0.6694  6 Se 2.93-2.96
Dy1 0.1668 0.1668 0.8355  6 Se 2.87-2.89
Dy2 0.5000 0.5000 0.5000  6 Se 2.89
Dy3 0.8332 0.8332 0.1645  6 Se 2.87-2.89
Pu1 0.5000 0.5000 0.0000  6 Se 2.94
Se1 0.0025 0.0025 0.7473  3 Dy 2.87-2.89, 1 Sm 2.93, 2 Pu 2.94
Se2 0.3320 0.3320 0.9215  3 Dy 2.87-2.89, 2 Sm 2.93, 1 Pu 2.94
Se3 0.3346 0.3346 0.4115  3 Dy 2.89, 3 Sm 2.96
Se4 0.6654 0.6654 0.5885  3 Dy 2.89, 3 Sm 2.96
Se5 0.6680 0.6680 0.0785  3 Dy 2.87-2.89, 2 Sm 2.93, 1 Pu 2.94
Se6 0.9975 0.9975 0.2527  3 Dy 2.87-2.89, 1 Sm 2.93, 2 Pu 2.94



First-principles (PBE) data for a relaxed SrDyPu2Se4 crystal, as listed in Alexandria.

Space group = P2/m
E = -0.286 Ha/atom
Crystal system = monoclinic
Formation energy (no corrections) = -1682 meV per atom
V = 209.3 Å³/cell

Cell: 7.2686 4.1844 7.2896 Å, 90.00 109.27 90.00°
With the nearest neighbours (Å) after each atom.
Fractional coordinates of all 8 atoms:
Sr1 0.0000 0.0000 0.0000  6 Se 3.02
Dy1 0.0000 0.5000 0.5000  6 Se 2.94
Pu1 0.5000 0.0000 0.5000  6 Se 2.92
Pu2 0.5000 0.5000 0.0000  6 Se 3.00
Se1 0.2494 0.0000 0.7409  3 Pu 2.92-3.00, 2 Dy 2.94, 1 Sr 3.02
Se2 0.2563 0.5000 0.2619  3 Pu 2.92-3.00, 1 Dy 2.94, 2 Sr 3.02
Se3 0.7437 0.5000 0.7381  3 Pu 2.92-3.00, 1 Dy 2.94, 2 Sr 3.02
Se4 0.7506 0.0000 0.2591  3 Pu 2.92-3.00, 2 Dy 2.94, 1 Sr 3.02



First-principles (PBE) data for a relaxed TbDy2PuSe4 crystal, as listed in Alexandria.

Space group = P2/m
E = -0.257 Ha/atom
Crystal system = monoclinic
Formation energy (no corrections) = -1723 meV per atom
V = 194.3 Å³/cell

Cell: 7.1010 4.0774 7.1032 Å, 90.00 109.17 90.00°
With the nearest neighbours (Å) after each atom.
Fractional coordinates of all 8 atoms:
Tb1 0.0000 0.0000 0.0000  6 Se 2.90
Dy1 0.0000 0.5000 0.5000  6 Se 2.87-2.88
Dy2 0.5000 0.0000 0.5000  6 Se 2.89
Pu1 0.5000 0.5000 0.0000  6 Se 2.91-2.92
Se1 0.2471 0.0000 0.7459  3 Dy 2.88-2.89, 1 Tb 2.90, 2 Pu 2.92
Se2 0.2494 0.5000 0.2530  3 Dy 2.87-2.89, 2 Tb 2.90, 1 Pu 2.91
Se3 0.7506 0.5000 0.7470  3 Dy 2.87-2.89, 2 Tb 2.90, 1 Pu 2.91
Se4 0.7529 0.0000 0.2541  3 Dy 2.88-2.89, 1 Tb 2.90, 2 Pu 2.92



First-principles (PBE) data for a relaxed Tb3DyPu2Se6 crystal, as listed in Alexandria.

Space group = C2/m
E = -0.271 Ha/atom
Crystal system = monoclinic
Formation energy (no corrections) = -1714 meV per atom
V = 293.7 Å³/cell

Cell: 9.1871 9.1871 8.2402 Å, 103.14 103.14 25.74°
With the nearest neighbours (Å) after each atom.
Fractional coordinates of all 12 atoms:
Tb1 0.0000 0.0000 0.0000  6 Se 2.90-2.91
Tb2 0.3325 0.3325 0.6667  6 Se 2.89-2.90
Tb3 0.6675 0.6675 0.3333  6 Se 2.89-2.90
Dy1 0.0000 0.0000 0.5000  6 Se 2.89-2.90
Pu1 0.3341 0.3341 0.1671  6 Se 2.91-2.92
Pu2 0.6659 0.6659 0.8329  6 Se 2.91-2.92
Se1 0.1663 0.1663 0.0848  3 Tb 2.89-2.90, 3 Pu 2.91-2.92
Se2 0.1658 0.1658 0.5801  1 Dy 2.89, 3 Tb 2.89-2.90, 2 Pu 2.92
Se3 0.4984 0.4984 0.7480  3 Tb 2.89-2.91, 2 Dy 2.90, 1 Pu 2.92
Se4 0.5016 0.5016 0.2520  3 Tb 2.89-2.91, 2 Dy 2.90, 1 Pu 2.92
Se5 0.8342 0.8342 0.4199  1 Dy 2.89, 3 Tb 2.89-2.90, 2 Pu 2.92
Se6 0.8337 0.8337 0.9152  3 Tb 2.89-2.90, 3 Pu 2.91-2.92



First-principles (PBE) data for a relaxed Tb3Dy4PuSe8 crystal, as listed in Alexandria.

Space group = R-3m
E = -0.235 Ha/atom
Crystal system = trigonal
Formation energy (no corrections) = -1743 meV per atom
V = 387.1 Å³/cell

Cell: 8.1806 8.1806 8.1806 Å, 60.00 60.00 60.00°
With the nearest neighbours (Å) after each atom.
Fractional coordinates of all 16 atoms:
Tb1 0.0000 0.5000 0.5000  6 Se 2.90
Tb2 0.5000 0.0000 0.5000  6 Se 2.90
Tb3 0.5000 0.5000 0.0000  6 Se 2.90
Dy1 0.0000 0.0000 0.5000  6 Se 2.88-2.89
Dy2 0.0000 0.5000 0.0000  6 Se 2.88-2.89
Dy3 0.5000 0.0000 0.0000  6 Se 2.88-2.89
Dy4 0.5000 0.5000 0.5000  6 Se 2.87
Pu1 0.0000 0.0000 0.0000  6 Se 2.91
Se1 0.2493 0.2493 0.2493  3 Dy 2.88, 3 Tb 2.90
Se2 0.2504 0.7483 0.7483  3 Dy 2.87-2.89, 2 Tb 2.90, 1 Pu 2.91
Se3 0.2517 0.2517 0.7496  3 Dy 2.87-2.89, 2 Tb 2.90, 1 Pu 2.91
Se4 0.2517 0.7496 0.2517  3 Dy 2.87-2.89, 2 Tb 2.90, 1 Pu 2.91
Se5 0.7483 0.2504 0.7483  3 Dy 2.87-2.89, 2 Tb 2.90, 1 Pu 2.91
Se6 0.7483 0.7483 0.2504  3 Dy 2.87-2.89, 2 Tb 2.90, 1 Pu 2.91
Se7 0.7496 0.2517 0.2517  3 Dy 2.87-2.89, 2 Tb 2.90, 1 Pu 2.91
Se8 0.7507 0.7507 0.7507  3 Dy 2.88, 3 Tb 2.90



First-principles (PBE) data for a relaxed Tb2Dy3PuSe6 crystal, as listed in Alexandria.

Space group = C2/m
E = -0.243 Ha/atom
Crystal system = monoclinic
Formation energy (no corrections) = -1742 meV per atom
V = 290.5 Å³/cell

Cell: 9.1538 9.1538 8.2178 Å, 103.06 103.06 25.70°
With the nearest neighbours (Å) after each atom.
Fractional coordinates of all 12 atoms:
Tb1 0.1640 0.1640 0.3290  6 Se 2.86-2.93
Tb2 0.8360 0.8360 0.6710  6 Se 2.86-2.93
Dy1 0.1654 0.1654 0.8353  6 Se 2.86-2.90
Dy2 0.5000 0.5000 0.5000  6 Se 2.87-2.91
Dy3 0.8346 0.8346 0.1647  6 Se 2.86-2.90
Pu1 0.5000 0.5000 0.0000  6 Se 2.91-2.93
Se1 0.0008 0.0008 0.7465  3 Dy 2.86-2.87, 1 Tb 2.86, 2 Pu 2.91
Se2 0.3313 0.3313 0.9167  3 Dy 2.87-2.88, 2 Tb 2.88, 1 Pu 2.93
Se3 0.3326 0.3326 0.4155  3 Dy 2.90-2.91, 3 Tb 2.91-2.93
Se4 0.6674 0.6674 0.5845  3 Dy 2.90-2.91, 3 Tb 2.91-2.93
Se5 0.6687 0.6687 0.0833  3 Dy 2.87-2.88, 2 Tb 2.88, 1 Pu 2.93
Se6 0.9992 0.9992 0.2535  3 Dy 2.86-2.87, 1 Tb 2.86, 2 Pu 2.91



First-principles (PBE) data for a relaxed DyPuTeSe crystal, as listed in Alexandria.

Space group = R3m
E = -0.288 Ha/atom
Crystal system = trigonal
Formation energy (no corrections) = -1435 meV per atom
V = 325.7 Å³/cell

Cell: 4.2058 4.2058 21.2591 Å, 90.00 90.00 120.00°
With the nearest neighbours (Å) after each atom.
Fractional coordinates of all 12 atoms:
Dy1 0.0000 0.0000 0.0000  3 Se 2.89, 3 Te 3.09
Dy2 0.3333 0.6667 0.6667  3 Se 2.89, 3 Te 3.09
Dy3 0.6667 0.3333 0.3333  3 Se 2.89, 3 Te 3.09
Pu1 0.0000 0.0000 0.5164  3 Se 2.93, 3 Te 3.14
Pu2 0.3333 0.6667 0.1830  3 Se 2.93, 3 Te 3.14
Pu3 0.6667 0.3333 0.8497  3 Se 2.93, 3 Te 3.14
Te1 0.0000 0.0000 0.7562  3 Dy 3.09, 3 Pu 3.14
Te2 0.3333 0.6667 0.4229  3 Dy 3.09, 3 Pu 3.14
Te3 0.6667 0.3333 0.0896  3 Dy 3.09, 3 Pu 3.14
Se1 0.0000 0.0000 0.2600  3 Dy 2.89, 3 Pu 2.93
Se2 0.3333 0.6667 0.9267  3 Dy 2.89, 3 Pu 2.93
Se3 0.6667 0.3333 0.5933  3 Dy 2.89, 3 Pu 2.93



First-principles (PBE) data for a relaxed DyPuTe2Se crystal, as listed in Alexandria.

Space group = P4/nmm
E = -0.255 Ha/atom
Crystal system = tetragonal
Formation energy (no corrections) = -1210 meV per atom
V = 290.1 Å³/cell

Cell: 4.3328 4.3328 15.4546 Å, 90.00 90.00 90.00°
With the nearest neighbours (Å) after each atom.
Fractional coordinates of all 10 atoms:
Dy1 0.2500 0.2500 0.0947  6 Te 3.05-3.14
Dy2 0.7500 0.7500 0.9053  6 Te 3.05-3.14
Pu1 0.2500 0.2500 0.6300  4 Se 2.95, 4 Te 3.29
Pu2 0.7500 0.7500 0.3700  4 Se 2.95, 4 Te 3.29
Te1 0.2500 0.2500 0.2920  1 Dy 3.05, 4 Pu 3.29
Te2 0.2500 0.2500 0.8915  5 Dy 3.07-3.14
Te3 0.7500 0.7500 0.1085  5 Dy 3.07-3.14
Te4 0.7500 0.7500 0.7080  1 Dy 3.05, 4 Pu 3.29
Se1 0.2500 0.7500 0.5000  4 Pu 2.95, 4 Se 3.06
Se2 0.7500 0.2500 0.5000  4 Pu 2.95, 4 Se 3.06



First-principles (PBE) data for a relaxed Dy3Pu2ThSe6 crystal, as listed in Alexandria.

Space group = C2/m
E = -0.278 Ha/atom
Crystal system = monoclinic
Formation energy (no corrections) = -1659 meV per atom
V = 296.4 Å³/cell

Cell: 9.2388 9.2388 8.3100 Å, 103.82 103.82 25.53°
With the nearest neighbours (Å) after each atom.
Fractional coordinates of all 12 atoms:
Dy1 0.0000 0.0000 0.0000  6 Se 2.85-2.90
Dy2 0.3338 0.3338 0.6669  6 Se 2.86-2.90
Dy3 0.6662 0.6662 0.3331  6 Se 2.86-2.90
Pu1 0.3342 0.3342 0.1686  6 Se 2.93-2.94
Pu2 0.6658 0.6658 0.8314  6 Se 2.93-2.94
Th1 0.0000 0.0000 0.5000  6 Se 2.97
Se1 0.1662 0.1662 0.0857  3 Dy 2.90, 3 Pu 2.94
Se2 0.1701 0.1701 0.5805  3 Dy 2.86-2.89, 2 Pu 2.93, 1 Th 2.97
Se3 0.4983 0.4983 0.7592  3 Dy 2.85-2.87, 1 Pu 2.93, 2 Th 2.97
Se4 0.5017 0.5017 0.2408  3 Dy 2.85-2.87, 1 Pu 2.93, 2 Th 2.97
Se5 0.8299 0.8299 0.4195  3 Dy 2.86-2.89, 2 Pu 2.93, 1 Th 2.97
Se6 0.8338 0.8338 0.9143  3 Dy 2.90, 3 Pu 2.94